(1)
TlHCO2, relaxed, DFT PBE-GGA; mass density = 4.66 g/cm³; VASP energy = -5.8813 eV/atom
1.0
6.110 0.000 0.000
0.000 7.142 0.000
0.000 0.000 8.151
Tl H C O
4 4 4 8
Direct
0.461 0.502 0.991
0.961 0.998 0.491
0.039 0.002 0.991
0.539 0.498 0.491
0.500 0.931 0.240
0.500 0.069 0.740
0.000 0.569 0.740
0.000 0.431 0.240
0.000 0.413 0.741
0.000 0.587 0.241
0.500 0.087 0.241
0.500 0.913 0.741
0.847 0.330 0.664
0.347 0.170 0.164
0.653 0.830 0.664
0.153 0.670 0.164
0.154 0.332 0.819
0.346 0.832 0.819
0.846 0.668 0.319
0.654 0.168 0.319

---

(2)
Sm2ErTi, relaxed, DFT PBE-GGA; excess energy over the best structure of this formula in the dataset = 0.000 eV per atom; mass density = 7.59 g/cm³; VASP energy = -5.2865 eV/atom
1.0
-0.623 1.299 3.144
-2.859 -1.932 0.232
5.029 -6.975 3.879
Ti Sm Er
1 2 1
Direct
0.500 0.500 0.000
0.000 0.000 0.777
0.000 0.000 0.223
0.500 0.500 0.500

---

(3)
AcTbDy2Se4, relaxed, DFT PBE-GGA; mass density = 8.23 g/cm³; energy relative to the elements, uncorrected = -1.754 eV per atom; VASP energy = -5.7389 eV/atom
1.0
-1.916 -3.044 1.980
-0.306 -3.897 -6.285
5.930 -4.041 -0.475
Ac Tb Dy Se
1 1 2 4
Direct
0.500 0.500 0.000
0.000 0.500 0.500
0.000 0.000 0.000
0.500 0.000 0.500
0.000 0.770 0.732
0.000 0.230 0.268
0.500 0.761 0.257
0.500 0.239 0.743

---

(4)
LaPm, relaxed, DFT PBE-GGA; excess energy over the best structure of this formula in the dataset = 0.046 eV per atom; mass density = 6.62 g/cm³; VASP energy = -4.7830 eV/atom
1.0
3.585 0.000 -0.043
0.000 5.743 0.000
-1.719 0.000 6.942
La Pm
2 2
Direct
0.562 0.750 0.624
0.438 0.250 0.376
0.815 0.750 0.130
0.185 0.250 0.870

---

(5)
MgScTeCl2, relaxed, DFT PBE-GGA; excess energy over the best structure of this formula in the dataset = 0.000 eV per atom; mass density = 3.14 g/cm³; energy relative to the elements, uncorrected = -1.189 eV per atom; VASP energy = -4.1408 eV/atom
1.0
4.869 0.000 0.000
0.000 5.974 0.000
0.000 0.000 4.869
Sc Mg Te Cl
1 1 1 2
Direct
0.000 0.000 0.000
0.500 0.500 0.500
0.000 0.500 0.000
0.000 0.000 0.500
0.500 0.000 0.000

---

(6)
TbFeC2, relaxed, DFT PBE-GGA; mass density = 8.03 g/cm³; VASP energy = -8.1437 eV/atom
1.0
3.737 -0.006 0.000
-0.965 3.610 0.000
0.000 0.000 3.661
C Tb Fe
2 1 1
Direct
0.453 0.856 0.500
0.144 0.547 0.500
0.005 0.995 0.000
0.614 0.386 0.500

---

(7)
Pm2ScF11, relaxed, DFT PBE-GGA; mass density = 3.84 g/cm³; energy relative to the elements, uncorrected = -3.339 eV per atom; VASP energy = -5.9399 eV/atom
1.0
-4.453 -2.935 -6.657
-2.539 -8.186 -0.158
-8.568 0.083 0.230
Pm Sc F
4 2 22
Direct
0.667 0.691 0.309
0.333 0.309 0.691
0.833 0.191 0.809
0.167 0.809 0.191
0.750 0.750 0.750
0.250 0.250 0.250
0.672 0.708 0.569
0.328 0.292 0.431
0.052 0.569 0.708
0.828 0.931 0.792
0.948 0.431 0.292
0.172 0.069 0.208
0.448 0.792 0.931
0.552 0.208 0.069
0.500 0.500 0.500
0.000 0.000 0.000
0.895 0.813 0.187
0.105 0.187 0.813
0.605 0.313 0.687
0.395 0.687 0.313
0.444 0.986 0.315
0.556 0.014 0.685
0.255 0.315 0.986
0.056 0.185 0.514
0.745 0.685 0.014
0.944 0.815 0.486
0.245 0.514 0.185
0.755 0.486 0.815

---

(8)
CaBe2V2, relaxed, DFT PBE-GGA; mass density = 3.68 g/cm³; VASP energy = -5.0829 eV/atom
1.0
-4.246 3.325 5.364
-6.311 -2.235 -3.611
-0.001 -2.118 1.312
Be Ca V
4 2 4
Direct
0.330 0.830 0.000
0.830 0.670 0.000
0.670 0.170 0.000
0.170 0.330 0.000
0.000 0.000 0.000
0.500 0.500 0.000
0.118 0.618 0.500
0.618 0.882 0.500
0.882 0.382 0.500
0.382 0.118 0.500

---

(9)
Tl4Br5N2, relaxed, DFT PBE-GGA; mass density = 5.44 g/cm³; energy relative to the elements, uncorrected = -0.585 eV per atom; VASP energy = -3.7197 eV/atom
1.0
-2.503 1.769 3.581
-1.469 -10.324 4.077
9.656 16.512 -4.517
Tl Br N
4 5 2
Direct
0.695 0.496 0.391
0.093 0.508 0.186
0.305 0.504 0.609
0.907 0.492 0.814
0.134 0.128 0.268
0.866 0.872 0.732
0.275 0.932 0.551
0.500 0.000 0.000
0.725 0.068 0.449
0.505 0.466 0.009
0.495 0.534 0.991

---

(10)
CaSi2F, relaxed, DFT PBE-GGA; excess energy over the best structure of this formula in the dataset = 1.207 eV per atom; mass density = 2.51 g/cm³; energy relative to the elements, uncorrected = -0.001 eV per atom; VASP energy = -3.6806 eV/atom
1.0
0.747 2.331 4.083
1.299 4.580 -0.077
-3.057 3.365 1.413
Ca Si F
1 2 1
Direct
0.500 0.500 0.500
0.250 0.250 0.250
0.750 0.750 0.750
0.000 0.000 0.000

---

(11)
Na3NdCl6, relaxed, DFT PBE-GGA; mass density = 2.52 g/cm³; energy relative to the elements, uncorrected = -1.995 eV per atom; VASP energy = -3.9752 eV/atom
1.0
6.282 0.000 3.333
2.256 5.862 3.333
-0.010 -0.007 7.605
Na Nd Cl
3 1 6
Direct
0.352 0.352 0.945
0.646 0.646 0.062
0.151 0.151 0.548
0.846 0.846 0.462
0.948 0.567 0.251
0.234 0.948 0.251
0.567 0.234 0.251
0.050 0.454 0.743
0.753 0.050 0.743
0.454 0.753 0.743

---

(12)
RbPmC2O6, relaxed, DFT PBE-GGA; mass density = 3.93 g/cm³; energy relative to the elements, uncorrected = -2.136 eV per atom; VASP energy = -7.5274 eV/atom
1.0
-5.732 0.975 -3.120
-1.847 -5.594 2.973
-0.024 4.980 5.384
Rb Pm C O
2 2 4 12
Direct
0.116 0.884 0.250
0.884 0.116 0.750
0.596 0.404 0.250
0.404 0.596 0.750
0.396 0.148 0.751
0.852 0.604 0.749
0.604 0.852 0.249
0.148 0.396 0.251
0.952 0.401 0.236
0.599 0.048 0.264
0.048 0.599 0.764
0.401 0.952 0.736
0.213 0.264 0.124
0.736 0.787 0.376
0.787 0.736 0.876
0.264 0.213 0.624
0.297 0.530 0.396
0.470 0.703 0.104
0.703 0.470 0.604
0.530 0.297 0.896

---

(13)
CsNa3Hg4, relaxed, DFT PBE-GGA; mass density = 6.16 g/cm³; VASP energy = -0.9763 eV/atom
1.0
5.133 0.000 1.515
2.343 4.567 1.515
-0.550 -0.336 11.316
Cs Na Hg
1 3 4
Direct
0.000 0.000 0.000
0.228 0.228 0.315
0.772 0.772 0.685
0.500 0.500 0.500
0.877 0.877 0.369
0.407 0.407 0.780
0.123 0.123 0.631
0.593 0.593 0.220

---

(14)
InIr2Cl, relaxed, DFT PBE-GGA; excess energy over the best structure of this formula in the dataset = 0.476 eV per atom; mass density = 11.80 g/cm³; energy relative to the elements, uncorrected = 0.650 eV per atom; VASP energy = -4.9270 eV/atom
1.0
-2.544 -1.203 3.058
-2.327 -2.072 -2.751
2.432 -8.759 1.402
Cl Ir In
2 4 2
Direct
0.500 0.500 0.000
0.250 0.750 0.500
0.571 0.125 0.250
0.179 0.625 0.250
0.375 0.429 0.750
0.875 0.821 0.750
0.000 0.000 0.000
0.750 0.250 0.500

---

(15)
Nd3Zn6AgAu2, relaxed, DFT PBE-GGA; mass density = 8.62 g/cm³; VASP energy = -2.8455 eV/atom
1.0
-0.057 -5.213 -2.072
-0.849 0.850 5.480
-9.222 0.714 -1.540
Nd Zn Ag Au
3 6 1 2
Direct
0.333 0.667 0.600
0.667 0.333 0.400
0.000 0.000 0.000
0.653 0.827 0.267
0.173 0.347 0.267
0.173 0.827 0.267
0.827 0.653 0.733
0.347 0.173 0.733
0.827 0.173 0.733
0.000 0.000 0.500
0.667 0.333 0.979
0.333 0.667 0.021

---

(16)
MnTlPd5, relaxed, DFT PBE-GGA; excess energy over the best structure of this formula in the dataset = 0.000 eV per atom; mass density = 11.14 g/cm³; VASP energy = -5.4684 eV/atom
1.0
5.132 -0.269 -0.825
-0.360 5.127 -0.825
-0.913 -0.929 9.313
Mn Tl Pd
2 2 10
Direct
0.497 0.503 0.750
0.503 0.497 0.250
0.000 0.000 0.000
0.000 0.000 0.500
0.390 0.019 0.842
0.458 0.761 0.539
0.019 0.390 0.342
0.835 0.165 0.750
0.239 0.542 0.961
0.761 0.458 0.039
0.165 0.835 0.250
0.981 0.610 0.658
0.542 0.239 0.461
0.610 0.981 0.158

---

(17)
Ac3SbCl2O6, relaxed, DFT PBE-GGA; mass density = 6.45 g/cm³; energy relative to the elements, uncorrected = -2.279 eV per atom; VASP energy = -6.4369 eV/atom
1.0
-4.362 -0.399 3.717
4.528 -1.081 5.199
-2.551 6.621 -1.085
Ac Sb Cl O
3 1 2 6
Direct
0.000 0.500 0.000
0.500 0.500 0.500
0.500 0.000 0.500
0.500 0.000 0.000
0.105 0.718 0.435
0.895 0.282 0.565
0.695 0.289 0.118
0.305 0.711 0.882
0.668 0.850 0.700
0.332 0.150 0.300
0.305 0.171 0.882
0.695 0.829 0.118

---

(18)
Al3Re, relaxed, DFT PBE-GGA; mass density = 7.48 g/cm³; VASP energy = -5.9581 eV/atom
1.0
3.900 0.000 0.000
0.000 3.900 0.000
0.000 0.000 3.900
Re Al
1 3
Direct
0.000 0.000 0.000
0.000 0.500 0.500
0.500 0.000 0.500
0.500 0.500 0.000

---

(19)
RbCa2SiRh, relaxed, DFT PBE-GGA; mass density = 3.28 g/cm³; energy relative to the elements, uncorrected = -0.206 eV per atom; VASP energy = -3.7553 eV/atom
1.0
5.627 0.000 0.000
0.000 5.627 0.000
0.000 0.000 4.736
Ca Rh Si Rb
2 1 1 1
Direct
0.000 0.500 0.000
0.500 0.000 0.000
0.000 0.000 0.000
0.000 0.000 0.500
0.500 0.500 0.500

---

(20)
Pr2ZrSb4, relaxed, DFT PBE-GGA; mass density = 6.64 g/cm³; energy relative to the elements, uncorrected = -0.719 eV per atom; VASP energy = -5.6617 eV/atom
1.0
-3.849 -0.236 2.004
-1.165 -3.263 -2.624
4.314 -7.494 7.404
Pr Zr Sb
2 1 4
Direct
0.500 0.000 0.721
0.000 0.500 0.279
0.500 0.500 0.000
0.500 0.000 0.166
0.000 0.500 0.834
0.500 0.500 0.500
0.000 0.000 0.500

---

(21)
SrLi6CdGa, relaxed, DFT PBE-GGA; mass density = 2.31 g/cm³; VASP energy = -1.8557 eV/atom
1.0
5.602 0.000 0.000
0.000 10.835 0.000
-2.801 -5.417 7.387
Sr Li Cd Ga
2 12 2 2
Direct
0.863 0.613 0.726
0.137 0.387 0.274
0.548 0.798 0.095
0.915 0.165 0.830
0.888 0.122 0.306
0.419 0.684 0.306
0.419 0.122 0.306
0.888 0.684 0.306
0.452 0.202 0.905
0.085 0.835 0.170
0.112 0.878 0.694
0.581 0.316 0.694
0.581 0.878 0.694
0.112 0.316 0.694
0.500 0.000 0.500
0.000 0.000 0.500
0.500 0.500 0.000
0.500 0.000 0.000

---

(22)
MgBeHg, relaxed, DFT PBE-GGA; excess energy over the best structure of this formula in the dataset = 0.227 eV per atom; mass density = 7.03 g/cm³; VASP energy = -1.5367 eV/atom
1.0
3.186 0.000 0.000
-1.593 2.759 0.000
0.000 0.000 6.287
Be Mg Hg
1 1 1
Direct
0.000 0.000 0.011
0.333 0.667 0.691
0.667 0.333 0.298

---

(23)
MnP2Br, relaxed, DFT PBE-GGA; excess energy over the best structure of this formula in the dataset = 0.029 eV per atom; mass density = 4.43 g/cm³; energy relative to the elements, uncorrected = -0.039 eV per atom; VASP energy = -5.4549 eV/atom
1.0
-0.192 0.675 3.725
-2.819 0.653 2.448
0.514 -7.565 -0.927
Br Mn P
1 1 2
Direct
0.750 0.750 0.750
0.250 0.250 0.250
0.904 0.904 0.108
0.596 0.596 0.392